*P*
# RbN2F2, optimized geometry, DFT PBE-GGA
# Crystal system = tetragonal
# DOS(E_F) = 12.38 states/eV per cell
data_RbN2F2
_cell_length_a 6.1620
_cell_length_b 6.1620
_cell_length_c 4.9219
_cell_angle_alpha 90.00
_cell_angle_beta 90.00
_cell_angle_gamma 90.00
_space_group_name_H-M_alt 'P 4/m m m'
_space_group_IT_number 123
_space_group_name_Hall '-P 4 2'
loop_
_atom_site_label
_atom_site_type_symbol
_atom_site_fract_x
_atom_site_fract_y
_atom_site_fract_z
Rb1 Rb 0.0000 0.0000 0.0000
N1 N 0.0000 0.5000 0.0000
F1 F 0.0000 0.0000 0.5000
F2 F 0.5000 0.5000 0.5000

---

*Q*
# RbN2F2, optimized geometry, DFT PBE-GGA
# Crystal system = tetragonal
# DOS(E_F) = 4.20 states/eV per cell
data_RbN2F2
_cell_length_a 3.8941
_cell_length_b 3.8941
_cell_length_c 6.2759
_cell_angle_alpha 90.00
_cell_angle_beta 90.00
_cell_angle_gamma 90.00
_space_group_name_H-M_alt 'P 4/m m m'
_space_group_IT_number 123
_space_group_name_Hall '-P 4 2'
loop_
_atom_site_label
_atom_site_type_symbol
_atom_site_fract_x
_atom_site_fract_y
_atom_site_fract_z
Rb1 Rb 0.0000 0.0000 0.0000
N1 N 0.0000 0.5000 0.5000
F1 F 0.5000 0.5000 0.0000
F2 F 0.5000 0.5000 0.5000

---

*R*
# RbN2F2, optimized geometry, DFT PBE-GGA
# Crystal system = monoclinic
data_RbN2F2
_cell_length_a 6.9282
_cell_length_b 5.2737
_cell_length_c 6.8613
_cell_angle_alpha 90.00
_cell_angle_beta 110.57
_cell_angle_gamma 90.00
_space_group_name_H-M_alt 'C 1 2/m 1'
_space_group_IT_number 12
loop_
_space_group_symop_operation_xyz
'x,y,z'
'-x,-y,-z'
'-x,y,-z'
'x,-y,z'
'x+1/2,y+1/2,z'
'-x+1/2,-y+1/2,-z'
'-x+1/2,y+1/2,-z'
'x+1/2,-y+1/2,z'
loop_
_atom_site_label
_atom_site_type_symbol
_atom_site_fract_x
_atom_site_fract_y
_atom_site_fract_z
Rb1 Rb 0.0000 0.0000 0.0000
N1 N 0.0000 0.3944 0.5000
F1 F 0.1402 0.5000 0.1112

---

*R* is the most stable structure; the next one sits 192.6 kJ/mol of atoms above it.

---

*P*
# RbN2F2, optimized geometry, DFT PBE-GGA
# Crystal system = tetragonal
# DOS(E_F) = 13.75 states/eV per cell
data_RbN2F2
_cell_length_a 7.0413
_cell_length_b 7.0413
_cell_length_c 3.9709
_cell_angle_alpha 90.00
_cell_angle_beta 90.00
_cell_angle_gamma 90.00
_space_group_name_H-M_alt 'P 4/m b m'
_space_group_IT_number 127
_space_group_name_Hall '-P 4 2ab'
loop_
_atom_site_label
_atom_site_type_symbol
_atom_site_fract_x
_atom_site_fract_y
_atom_site_fract_z
Rb1 Rb 0.0000 0.0000 0.0000
N1 N 0.0558 0.4442 0.0000
F1 F 0.2312 0.7312 0.5000

---

*Q*
# RbN2F2, optimized geometry, DFT PBE-GGA
# Crystal system = tetragonal
# DOS(E_F) = 7.61 states/eV per cell
data_RbN2F2
_cell_length_a 4.9697
_cell_length_b 4.9697
_cell_length_c 6.2253
_cell_angle_alpha 90.00
_cell_angle_beta 90.00
_cell_angle_gamma 90.00
_space_group_name_H-M_alt 'P 4/m m m'
_space_group_IT_number 123
_space_group_name_Hall '-P 4 2'
loop_
_atom_site_label
_atom_site_type_symbol
_atom_site_fract_x
_atom_site_fract_y
_atom_site_fract_z
Rb1 Rb 0.0000 0.0000 0.0000
N1 N 0.0000 0.0000 0.5000
N2 N 0.5000 0.5000 0.5000
F1 F 0.0000 0.5000 0.0000

---

*P* is the most stable structure; the next one sits 200.2 kJ/mol of atoms above it.

---

*P*
# RbNF2, optimized geometry, DFT PBE-GGA
# Crystal system = trigonal
# DOS(E_F) = 0.00 states/eV per cell
data_RbNF2
_cell_length_a 4.2055
_cell_length_b 4.2055
_cell_length_c 18.7611
_cell_angle_alpha 90.00
_cell_angle_beta 90.00
_cell_angle_gamma 120.00
_space_group_name_H-M_alt 'R -3 m'
_space_group_IT_number 166
_space_group_name_Hall '-R 3 2"'
loop_
_atom_site_label
_atom_site_type_symbol
_atom_site_fract_x
_atom_site_fract_y
_atom_site_fract_z
Rb1 Rb 0.0000 0.0000 0.0000
N1 N 0.0000 0.0000 0.5000
F1 F 0.0000 0.0000 0.4069

---

*Q*
# RbNF2, optimized geometry, DFT PBE-GGA
# Crystal system = tetragonal
# DOS(E_F) = 1.01 states/eV per cell
data_RbNF2
_cell_length_a 4.9112
_cell_length_b 4.9112
_cell_length_c 12.6814
_cell_angle_alpha 90.00
_cell_angle_beta 90.00
_cell_angle_gamma 90.00
_space_group_name_H-M_alt 'I -4 2 d'
_space_group_IT_number 122
_space_group_name_Hall 'I -4 2bw'
loop_
_atom_site_label
_atom_site_type_symbol
_atom_site_fract_x
_atom_site_fract_y
_atom_site_fract_z
Rb1 Rb 0.0000 0.0000 0.0000
N1 N 0.0000 0.0000 0.5000
F1 F 0.1085 0.2500 0.6250

---

*P* is the most stable structure; the next one sits 33.6 kJ/mol of atoms above it.

---

*P*
# RbNF2, optimized geometry, DFT PBE-GGA
# Crystal system = cubic
# DOS(E_F) = 35.57 states/eV per cell
data_RbNF2
_cell_length_a 6.5762
_cell_length_b 6.5762
_cell_length_c 6.5762
_cell_angle_alpha 90.00
_cell_angle_beta 90.00
_cell_angle_gamma 90.00
_space_group_name_H-M_alt 'F m -3 m'
_space_group_IT_number 225
_space_group_name_Hall '-F 4 2 3'
loop_
_atom_site_label
_atom_site_type_symbol
_atom_site_fract_x
_atom_site_fract_y
_atom_site_fract_z
Rb1 Rb 0.0000 0.0000 0.0000
N1 N 0.0000 0.0000 0.5000
F1 F 0.2500 0.2500 0.2500

---

*Q*
# RbNF2, optimized geometry, DFT PBE-GGA
# Crystal system = monoclinic
data_RbNF2
_cell_length_a 6.8904
_cell_length_b 5.4013
_cell_length_c 11.7458
_cell_angle_alpha 90.00
_cell_angle_beta 124.55
_cell_angle_gamma 90.00
_space_group_name_H-M_alt 'P 1 21/c 1'
_space_group_IT_number 14
loop_
_space_group_symop_operation_xyz
'x,y,z'
'-x,-y,-z'
'-x,y+1/2,-z+1/2'
'x,-y+1/2,z+1/2'
loop_
_atom_site_label
_atom_site_type_symbol
_atom_site_fract_x
_atom_site_fract_y
_atom_site_fract_z
Rb1 Rb 0.1516 0.2387 0.1544
N1 N 0.4492 0.0445 0.9481
F1 F 0.0119 0.2375 0.3633
F2 F 0.2786 0.7379 0.1360

---

*Q* is the most stable structure; the next one sits 132.5 kJ/mol of atoms above it.

---

*P*
# RbRhNF2, optimized geometry, DFT PBE-GGA
# Crystal system = tetragonal
# DOS(E_F) = 1.65 states/eV per cell
data_RbRhNF2
_cell_length_a 4.5796
_cell_length_b 4.5796
_cell_length_c 3.6890
_cell_angle_alpha 90.00
_cell_angle_beta 90.00
_cell_angle_gamma 90.00
_space_group_name_H-M_alt 'P 4/m m m'
_space_group_IT_number 123
_space_group_name_Hall '-P 4 2'
loop_
_atom_site_label
_atom_site_type_symbol
_atom_site_fract_x
_atom_site_fract_y
_atom_site_fract_z
Rb1 Rb 0.0000 0.0000 0.0000
Rh1 Rh 0.5000 0.5000 0.5000
N1 N 0.5000 0.5000 0.0000
F1 F 0.0000 0.5000 0.5000

---

*Q*
# RbRhNF2, optimized geometry, DFT PBE-GGA
# Crystal system = tetragonal
# DOS(E_F) = 6.21 states/eV per cell
data_RbRhNF2
_cell_length_a 5.0733
_cell_length_b 5.0733
_cell_length_c 5.2077
_cell_angle_alpha 90.00
_cell_angle_beta 90.00
_cell_angle_gamma 90.00
_space_group_name_H-M_alt 'P 4/m m m'
_space_group_IT_number 123
_space_group_name_Hall '-P 4 2'
loop_
_atom_site_label
_atom_site_type_symbol
_atom_site_fract_x
_atom_site_fract_y
_atom_site_fract_z
Rb1 Rb 0.0000 0.0000 0.0000
Rh1 Rh 0.5000 0.5000 0.5000
N1 N 0.0000 0.0000 0.5000
F1 F 0.0000 0.5000 0.0000

---

*P* is the most stable structure; the next one sits 180.5 kJ/mol of atoms above it.

---

*P*
# RbRhN2F, optimized geometry, DFT PBE-GGA
# Crystal system = tetragonal
# DOS(E_F) = 10.13 states/eV per cell
data_RbRhN2F
_cell_length_a 4.5035
_cell_length_b 4.5035
_cell_length_c 4.7700
_cell_angle_alpha 90.00
_cell_angle_beta 90.00
_cell_angle_gamma 90.00
_space_group_name_H-M_alt 'P 4/m m m'
_space_group_IT_number 123
_space_group_name_Hall '-P 4 2'
loop_
_atom_site_label
_atom_site_type_symbol
_atom_site_fract_x
_atom_site_fract_y
_atom_site_fract_z
Rb1 Rb 0.0000 0.0000 0.0000
Rh1 Rh 0.5000 0.5000 0.5000
N1 N 0.0000 0.5000 0.0000
F1 F 0.0000 0.0000 0.5000

---

*Q*
# RbRhN2F, optimized geometry, DFT PBE-GGA
# Crystal system = tetragonal
# DOS(E_F) = 3.45 states/eV per cell
data_RbRhN2F
_cell_length_a 3.7797
_cell_length_b 3.7797
_cell_length_c 6.2747
_cell_angle_alpha 90.00
_cell_angle_beta 90.00
_cell_angle_gamma 90.00
_space_group_name_H-M_alt 'P 4/m m m'
_space_group_IT_number 123
_space_group_name_Hall '-P 4 2'
loop_
_atom_site_label
_atom_site_type_symbol
_atom_site_fract_x
_atom_site_fract_y
_atom_site_fract_z
Rb1 Rb 0.0000 0.0000 0.0000
Rh1 Rh 0.5000 0.5000 0.5000
N1 N 0.0000 0.5000 0.5000
F1 F 0.5000 0.5000 0.0000

---

*Q* is the most stable structure; the next one sits 242.2 kJ/mol of atoms above it.